SrCa2As | PBE | optimized geometry

abc: 6.438 6.438 6.438
angles: 136.20 136.20 63.67
Atoms (fractional coordinates):
Sr 0.000 0.000 0.000
Ca 0.500 0.500 0.000
Ca 0.750 0.250 0.500
As 0.250 0.750 0.500

Summary:
Volume, Å³ per cell: 126.16
Raw total energy, eV/cell: -11.6